The following is a GGA-PBE calculation of a geometry-optimized Pm2Dy9Er structure, from Alexandria.

Its space group is P4/mmm. The formation enthalpy at 0 K comes out at 21 meV per atom.

a b c (Å): 5.0313 5.0313 15.0830
angles (deg): 90.00 90.00 90.00
Fractional coordinates of all 12 atoms:
Pm (0.0000, 0.0000, 0.1675)
Pm (0.0000, 0.0000, 0.8325)
Dy (0.0000, 0.5000, 0.0000)
Dy (0.0000, 0.5000, 0.3353)
Dy (0.0000, 0.5000, 0.6647)
Dy (0.5000, 0.0000, 0.0000)
Dy (0.5000, 0.0000, 0.3353)
Dy (0.5000, 0.0000, 0.6647)
Dy (0.5000, 0.5000, 0.1680)
Dy (0.5000, 0.5000, 0.5000)
Dy (0.5000, 0.5000, 0.8320)
Er (0.0000, 0.0000, 0.5000)

***

The following is a GGA-PBE calculation of a geometry-optimized Pm12Dy2Er structure, from Alexandria.

Its space group is P4/nbm. The formation enthalpy at 0 K comes out at 324 meV per atom.

a b c (Å): 6.5192 6.5192 25.3906
angles (deg): 90.00 90.00 90.00
Fractional coordinates of all 30 atoms:
Pm (0.0670, 0.5670, 0.1140)
Pm (0.0670, 0.9330, 0.8860)
Pm (0.0822, 0.5822, 0.5623)
Pm (0.0822, 0.9178, 0.4377)
Pm (0.2500, 0.2500, 0.2148)
Pm (0.2500, 0.2500, 0.3370)
Pm (0.2500, 0.2500, 0.6630)
Pm (0.2500, 0.2500, 0.7852)
Pm (0.4178, 0.5822, 0.4377)
Pm (0.4178, 0.9178, 0.5623)
Pm (0.4330, 0.5670, 0.8860)
Pm (0.4330, 0.9330, 0.1140)
Pm (0.5670, 0.0670, 0.8860)
Pm (0.5670, 0.4330, 0.1140)
Pm (0.5822, 0.0822, 0.4377)
Pm (0.5822, 0.4178, 0.5623)
Pm (0.7500, 0.7500, 0.2148)
Pm (0.7500, 0.7500, 0.3370)
Pm (0.7500, 0.7500, 0.6630)
Pm (0.7500, 0.7500, 0.7852)
Pm (0.9178, 0.0822, 0.5623)
Pm (0.9178, 0.4178, 0.4377)
Pm (0.9330, 0.0670, 0.1140)
Pm (0.9330, 0.4330, 0.8860)
Dy (0.2500, 0.7500, 0.2715)
Dy (0.2500, 0.7500, 0.7285)
Dy (0.7500, 0.2500, 0.2715)
Dy (0.7500, 0.2500, 0.7285)
Er (0.2500, 0.7500, 0.0000)
Er (0.7500, 0.2500, 0.0000)

***

The following is a GGA-PBE calculation of a geometry-optimized PmDy5Er5 structure, from Alexandria.

Its space group is P-6m2. The formation enthalpy at 0 K comes out at 321 meV per atom.

a b c (Å): 6.0253 6.0253 11.5782
angles (deg): 90.00 90.00 120.00
Fractional coordinates of all 11 atoms:
Pm (0.0000, 0.0000, 0.0000)
Dy (0.0000, 0.0000, 0.3222)
Dy (0.0000, 0.0000, 0.6778)
Dy (0.3333, 0.6667, 0.1563)
Dy (0.3333, 0.6667, 0.8437)
Dy (0.6667, 0.3333, 0.0000)
Er (0.0009, 0.5005, 0.5000)
Er (0.4995, 0.5005, 0.5000)
Er (0.4995, 0.9991, 0.5000)
Er (0.6667, 0.3333, 0.2650)
Er (0.6667, 0.3333, 0.7350)

***

The following is a GGA-PBE calculation of a geometry-optimized Pm2Dy2Er structure, from Alexandria.

Its space group is I4/mmm. The formation enthalpy at 0 K comes out at 475 meV per atom.

a b c (Å): 6.3503 6.3503 6.3503
angles (deg): 124.81 124.81 81.85
Fractional coordinates of all 5 atoms:
Pm (0.1450, 0.1450, 0.0000)
Pm (0.8550, 0.8550, 0.0000)
Dy (0.2500, 0.7500, 0.5000)
Dy (0.7500, 0.2500, 0.5000)
Er (0.5000, 0.5000, 0.0000)

***

The following is a GGA-PBE calculation of a geometry-optimized Pm3DyEr3 structure, from Alexandria.

Its space group is P6_3/m. The formation enthalpy at 0 K comes out at 18 meV per atom.

a b c (Å): 9.5949 9.5949 5.7214
angles (deg): 90.00 90.00 120.00
Fractional coordinates of all 14 atoms:
Pm (0.0493, 0.2427, 0.2500)
Pm (0.1934, 0.9507, 0.2500)
Pm (0.2427, 0.1934, 0.7500)
Pm (0.7573, 0.8066, 0.2500)
Pm (0.8066, 0.0493, 0.7500)
Pm (0.9507, 0.7573, 0.7500)
Dy (0.3333, 0.6667, 0.2500)
Dy (0.6667, 0.3333, 0.7500)
Er (0.0954, 0.4788, 0.7500)
Er (0.3834, 0.9046, 0.7500)
Er (0.4788, 0.3834, 0.2500)
Er (0.5212, 0.6166, 0.7500)
Er (0.6166, 0.0954, 0.2500)
Er (0.9046, 0.5212, 0.2500)

***

The following is a GGA-PBE calculation of a geometry-optimized Pm4DyEr4 structure, from Alexandria.

Its space group is I4/mmm. The formation enthalpy at 0 K comes out at 21 meV per atom.

a b c (Å): 7.9965 7.9965 7.9965
angles (deg): 95.71 95.71 143.23
Fractional coordinates of all 9 atoms:
Pm (0.0000, 0.3308, 0.3308)
Pm (0.0000, 0.6692, 0.6692)
Pm (0.3308, 0.0000, 0.3308)
Pm (0.6692, 0.0000, 0.6692)
Dy (0.0000, 0.0000, 0.0000)
Er (0.3341, 0.3341, 0.6681)
Er (0.3341, 0.6659, 0.0000)
Er (0.6659, 0.3341, 0.0000)
Er (0.6659, 0.6659, 0.3319)